# 1
HoCuAsO: relaxed, GGA-PBE.

```
HoCuAsO
1.0
3.866 0.000 0.000
0.000 3.866 0.000
0.000 0.000 8.773
Ho Cu O As
2 2 2 2
direct
0.500 0.000 0.627
0.000 0.500 0.373
0.500 0.500 0.000
0.000 0.000 0.000
0.500 0.500 0.500
0.000 0.000 0.500
0.500 0.000 0.173
0.000 0.500 0.827
```

Calculated values
- Space group: P4/nmm (129)
- Energy relative to the elements, uncorrected: -1732 meV/atom
- V: 16.392 Å³ per atom

---

# 2
ZrAlF2: relaxed, GGA-PBE.

```
ZrAlF2
1.0
-2.417 2.417 5.355
2.417 -2.417 5.355
2.417 2.417 -5.355
F Al Zr
4 2 2
direct
0.220 0.625 0.095
0.530 0.125 0.905
0.375 0.470 0.595
0.875 0.780 0.405
0.500 0.500 0.000
0.250 0.750 0.500
0.750 0.250 0.500
0.000 0.000 0.000
```

Calculated values
- Space group: I-42d (122)
- Polymorph energy (0 for the lowest one): 655.1 meV per atom
- Energy relative to the elements, uncorrected: -1184 meV/atom
- V: 15.636 Å³ per atom

---

# 3
NdGaGe2Ru2: relaxed, GGA-PBE.

```
NdGaGe2Ru2
1.0
4.561 0.000 0.000
0.000 4.561 0.000
0.000 0.000 5.625
Nd Ga Ge Ru
1 1 2 2
direct
0.000 0.000 0.500
0.000 0.000 0.000
0.500 0.500 0.264
0.500 0.500 0.736
0.500 0.000 0.000
0.000 0.500 0.000
```

Calculated values
- Space group: P4/mmm (123)
- ΔE_f: -127 meV per atom
- V: 19.500 Å³ per atom